# NdDy4Er2Mg

A geometry-optimized NdDy4Er2Mg structure (PBE, Alexandria via LeMat-Bulk).

Results
calculated total energy: -4.140 eV per atom
magnetization: 0.00 Bohr magnetons per cell
energy relative to the elements: 0.78 eV per formula unit

Lattice parameters (Å, degrees): 5.7696 9.3948 5.7656 52.17 90.00 90.00
Positions (direct):
Nd: 0.5000 0.5000 0.0000
Dy: 0.0000 0.7476 0.7523
Dy: 0.0000 0.2524 0.2477
Dy: 0.5000 0.7474 0.2529
Dy: 0.5000 0.2526 0.7471
Er: 0.0000 0.0000 0.0000
Er: 0.5000 0.0000 0.5000
Mg: 0.0000 0.5000 0.5000